A geometry-optimized PmIn3Ir2 structure. Source: Alexandria, functional PBE-GGA.

Values from the calculation:
ΔE_f	-1.82	eV per formula unit
V	22.3	Å³ per atom
calculated total energy	-5.42	eV/atom
symmetry	C2/m, No. 12

a = 4.2516 Å, b = 9.4765 Å, c = 10.9052 Å
α = 110.14°, β = 90.00°, γ = 102.96°
Closest atoms and distances in Å follow each position.
Fractional coordinates of all 18 atoms:
In (0.6737, 0.3474, 0.9552)  4 Ir 2.67-2.85
In (0.2154, 0.4308, 0.3967)  4 Ir 2.70-2.81
In (0.3263, 0.6526, 0.0448)  4 Ir 2.67-2.85
In (0.0353, 0.0706, 0.3359)  4 Ir 2.66-2.79
In (0.5000, 0.0000, 0.5000)  2 Ir 2.67
In (0.3720, 0.7440, 0.8057)  4 Ir 2.75-2.81, 3 In 3.01-3.08
In (0.7846, 0.5692, 0.6033)  4 Ir 2.70-2.81
In (0.6280, 0.2560, 0.1943)  4 Ir 2.75-2.81, 3 In 3.01-3.08
In (0.9647, 0.9294, 0.6641)  4 Ir 2.66-2.79
Ir (0.3672, 0.7343, 0.5453)  7 In 2.67-2.81
Ir (0.4774, 0.9548, 0.1868)  4 In 2.66-2.75
Ir (0.7910, 0.5820, 0.8591)  6 In 2.72-2.85
Ir (0.2090, 0.4180, 0.1409)  6 In 2.72-2.85
Ir (0.5226, 0.0452, 0.8132)  4 In 2.66-2.75
Ir (0.6328, 0.2657, 0.4547)  7 In 2.67-2.81
Pm (0.0000, 0.0000, 0.0000)  4 Ir 3.07, 4 In 3.33
Pm (0.8336, 0.6672, 0.3066)  4 Ir 3.18-3.25, 5 In 3.43-3.55
Pm (0.1664, 0.3328, 0.6934)  4 Ir 3.18-3.25, 5 In 3.43-3.55